Pm2Ga4Ni3: optimized geometry, PBE.

Its formation enthalpy at 0 K is -0.519 eV/atom. As for the raw total energy: -4.847 eV/atom.

a = 5.7148 Å, b = 7.3714 Å, c = 7.9376 Å
α = 90.00°, β = 111.10°, γ = 90.00°
Fractional positions:
Ga 0.6800 0.5111 0.3599
Pm 0.1158 0.5927 0.2316
Ni 0.4781 0.2500 0.4563
Ni 0.0219 0.7500 0.5437
Pm 0.3842 0.0927 0.7684
Ga 0.6914 0.7500 0.8829
Ga 0.8086 0.2500 0.1171
Ni 0.5000 0.5000 0.0000
Ga 0.3200 0.4889 0.6401
Ga 0.1800 0.9889 0.3599
Ga 0.1914 0.7500 0.8829
Ni 0.5219 0.7500 0.5437
Ga 0.8200 0.0111 0.6401
Ga 0.3086 0.2500 0.1171
Pm 0.6158 0.9073 0.2316
Ni 0.9781 0.2500 0.4563
Pm 0.8842 0.4073 0.7684
Ni 0.0000 0.0000 0.0000